PBE PC, relaxed; polymorph energy (0 for the lowest one) = 872.7 meV/atom; ΔE_f = 1.185 eV per atom; volume = 10.619 Å³ per atom
1.0
-1.0379 -2.3982 1.3643
1.8158 -2.3651 -2.7762
2.9109 -0.1190 2.0053
C P
2 2
direct
0.0000 0.5000 0.0985
0.0000 0.0000 0.2348
0.5000 0.5000 0.7982
0.5000 0.0000 0.5352